Arrangement a

Below is a geometry-optimized CsTlHgAu structure, with properties calculated at the GGA-PBE level.

## Properties
total magnetic moment: 0.0 μB per formula unit
N(E_F): 0.94 states/eV per atom
volume: 34.97 Å³/atom

a = 5.8264 Å, b = 5.8264 Å, c = 5.8264 Å
α = 60.00°, β = 60.00°, γ = 60.00°
Fractional positions:
Au (0.0000, 0.0000, 0.0000)
Tl (0.7500, 0.7500, 0.7500)
Hg (0.5000, 0.5000, 0.5000)
Cs (0.2500, 0.2500, 0.2500)


Arrangement b

Below is a geometry-optimized CsTlHgAu structure, with properties calculated at the GGA-PBE level.

## Properties
total magnetic moment: 0.0 μB per formula unit
N(E_F): 0.64 states/eV per atom
volume: 36.73 Å³/atom

a = 5.0059 Å, b = 5.0059 Å, c = 7.3347 Å
α = 90.28°, β = 109.97°, γ = 119.51°
Fractional positions:
Tl (0.0131, 0.8708, 0.8839)
Hg (0.4788, 0.6038, 0.0827)
Au (0.7976, 0.2620, 0.0596)
Cs (0.4025, 0.0678, 0.4703)


Which of them is the most stable? Correct choice: arrangement b.


Arrangement a

Below is a geometry-optimized Cs2ZnHgAu structure, with properties calculated at the GGA-PBE level.

## Properties
total magnetic moment: 0.0 μB per formula unit
N(E_F): 0.69 states/eV per atom
volume: 51.50 Å³/atom

a = 6.8837 Å, b = 6.8837 Å, c = 5.4337 Å
α = 90.00°, β = 90.00°, γ = 90.00°
Fractional positions:
Cs (0.0000, 0.5000, 0.0000)
Cs (0.5000, 0.0000, 0.0000)
Zn (0.5000, 0.5000, 0.5000)
Hg (0.0000, 0.0000, 0.5000)
Au (0.0000, 0.0000, 0.0000)


Arrangement b

Below is a geometry-optimized Cs2ZnHgAu structure, with properties calculated at the GGA-PBE level.

## Properties
total magnetic moment: 0.0 μB per formula unit
N(E_F): 0.65 states/eV per atom
volume: 47.95 Å³/atom

a = 6.8800 Å, b = 6.8800 Å, c = 5.0656 Å
α = 90.00°, β = 90.00°, γ = 90.00°
Fractional positions:
Hg (0.5000, 0.5000, 0.5000)
Cs (0.5000, 0.0000, 0.0000)
Cs (0.0000, 0.5000, 0.0000)
Zn (0.0000, 0.0000, 0.5000)
Au (0.0000, 0.0000, 0.0000)


Which of them is the most stable? Correct choice: arrangement b.


Arrangement a

Below is a geometry-optimized CsAu3I structure, with properties calculated at the GGA-PBE level.

## Properties
total magnetic moment: 0.0 μB per formula unit
N(E_F): 0.21 states/eV per atom
volume: 36.27 Å³/atom

a = 5.6602 Å, b = 5.6602 Å, c = 5.6602 Å
α = 90.00°, β = 90.00°, γ = 90.00°
Fractional positions:
Cs (0.5000, 0.5000, 0.5000)
Au (0.0000, 0.0000, 0.5000)
Au (0.5000, 0.0000, 0.0000)
Au (0.0000, 0.5000, 0.0000)
I (0.0000, 0.0000, 0.0000)


Arrangement b

Below is a geometry-optimized CsAu3I structure, with properties calculated at the GGA-PBE level.

## Properties
total magnetic moment: 0.0 μB per formula unit
N(E_F): 0.89 states/eV per atom
volume: 42.66 Å³/atom

a = 5.9748 Å, b = 5.9748 Å, c = 5.9748 Å
α = 90.00°, β = 90.00°, γ = 90.00°
Fractional positions:
Au (0.5000, 0.0000, 0.0000)
Au (0.0000, 0.5000, 0.0000)
Au (0.0000, 0.0000, 0.5000)
I (0.5000, 0.5000, 0.5000)
Cs (0.0000, 0.0000, 0.0000)


Which of them is the most stable? Correct choice: arrangement a.